ErGeCl (PBE-GGA, optimized geometry); final energy = -4.8808 eV per atom; space group = P2_1/m; N(E_F) = 1.7 states/eV per cell
1.0
-1.630 -2.557 3.861
2.612 -8.006 -2.223
7.410 -3.754 2.619
Cl Er Ge
4 4 4
Direct
0.227 0.659 0.909
0.773 0.841 0.591
0.773 0.341 0.091
0.227 0.159 0.409
0.080 0.496 0.745
0.080 0.996 0.245
0.920 0.504 0.255
0.920 0.004 0.755
0.652 0.389 0.639
0.652 0.889 0.139
0.348 0.611 0.361
0.348 0.111 0.861

Er2GeCl (PBE-GGA, optimized geometry); final energy = -4.9595 eV per atom; space group = R3m; offset from the most stable computed form = 73 meV/atom; N(E_F) = 2.4 states/eV per cell
1.0
4.052 0.000 0.000
2.026 3.509 0.000
2.026 1.170 7.095
Er Ge Cl
2 1 1
Direct
0.071 0.071 0.788
0.265 0.265 0.206
0.669 0.669 0.994
0.496 0.496 0.511

ErGe2Cl8 (PBE-GGA, optimized geometry); final energy = -3.8156 eV per atom; space group = C2/m; N(E_F) = 6.2 states/eV per cell
1.0
-3.858 1.839 6.073
4.849 -1.014 5.738
2.548 6.887 1.883
Er Ge Cl
1 2 8
Direct
0.000 0.000 0.000
0.623 0.866 0.866
0.377 0.134 0.134
0.186 0.281 0.892
0.814 0.108 0.719
0.295 0.814 0.814
0.705 0.186 0.186
0.186 0.892 0.281
0.814 0.719 0.108
0.771 0.678 0.678
0.229 0.322 0.322

Er2GeCl (PBE-GGA, optimized geometry); final energy = -5.0323 eV per atom; space group = R-3m; offset from the most stable computed form = 0 meV/atom; N(E_F) = 2.1 states/eV per cell
1.0
-2.993 0.722 -2.779
0.521 -1.142 -3.953
-3.436 -5.895 -0.925
Ge Cl Er
1 1 2
Direct
0.000 0.000 0.000
0.500 0.500 0.500
0.258 0.258 0.225
0.742 0.742 0.775

ErGeCl5 (PBE-GGA, optimized geometry); final energy = -4.2138 eV per atom; space group = C2/c; N(E_F) = 0.0 states/eV per cell
1.0
6.692 0.452 -2.049
-0.735 6.666 -2.049
-0.301 -0.360 10.162
Er Ge Cl
2 2 10
Direct
0.000 0.000 0.000
0.500 0.500 0.500
0.918 0.582 0.250
0.082 0.418 0.750
0.831 0.865 0.154
0.781 0.247 0.499
0.365 0.331 0.654
0.248 0.252 0.250
0.253 0.719 0.001
0.747 0.281 0.999
0.752 0.748 0.750
0.635 0.669 0.346
0.219 0.753 0.501
0.169 0.135 0.846

KErGeCl6 (PBE-GGA, optimized geometry); final energy = -4.1222 eV per atom; space group = P-31c; N(E_F) = 0.0 states/eV per cell
1.0
-6.033 3.390 0.699
0.693 -4.895 -4.893
-4.328 -9.547 8.939
K Er Ge Cl
2 2 2 12
Direct
0.000 0.000 0.000
0.000 0.000 0.500
0.667 0.333 0.250
0.333 0.667 0.750
0.333 0.667 0.250
0.667 0.333 0.750
0.633 0.627 0.141
0.993 0.367 0.141
0.367 0.993 0.641
0.007 0.633 0.859
0.373 0.367 0.359
0.993 0.627 0.359
0.627 0.993 0.859
0.633 0.007 0.359
0.007 0.373 0.641
0.373 0.007 0.141
0.627 0.633 0.641
0.367 0.373 0.859

KErGe2Cl8 (PBE-GGA, optimized geometry); final energy = -3.9480 eV per atom; space group = P-1; N(E_F) = 0.0 states/eV per cell
1.0
-5.801 -3.732 0.329
2.932 -5.539 -0.645
0.389 -0.794 8.855
K Er Ge Cl
1 1 2 8
Direct
0.000 0.000 0.500
0.000 0.000 0.000
0.445 0.460 0.764
0.555 0.540 0.236
0.187 0.790 0.203
0.692 0.767 0.040
0.867 0.268 0.219
0.813 0.210 0.797
0.308 0.233 0.960
0.133 0.732 0.781
0.645 0.722 0.441
0.355 0.278 0.559

NaErGeCl6 (PBE-GGA, optimized geometry); final energy = -4.0828 eV per atom; space group = P-31c; N(E_F) = 0.0 states/eV per cell
1.0
-2.025 -6.107 -2.316
6.665 1.496 0.324
0.460 -4.583 11.681
Na Er Ge Cl
2 2 2 12
Direct
0.000 0.000 0.000
0.000 0.000 0.500
0.667 0.333 0.250
0.333 0.667 0.750
0.333 0.667 0.250
0.667 0.333 0.750
0.650 0.643 0.132
0.993 0.350 0.132
0.350 0.993 0.632
0.007 0.650 0.868
0.357 0.350 0.368
0.993 0.643 0.368
0.643 0.993 0.868
0.650 0.007 0.368
0.007 0.357 0.632
0.357 0.007 0.132
0.643 0.650 0.632
0.350 0.357 0.868